8
Lattice="-3.144 3.144 3.892 3.144 -3.144 3.892 3.144 3.144 -3.892" Properties=species:S:1:pos:R:3 comment="PBE+U MgV2O, relaxed" polymorph_energy_kj_per_mol_fu=0 dft_energy_ev_per_atom=-5.4753 pbc="T T T"
Mg 0.000 0.000 0.000
Mg 0.000 3.144 1.946
V 1.572 -0.702 2.919
V 2.442 1.572 0.973
V 1.572 3.847 -0.973
V 0.702 1.572 4.864
O 3.144 0.000 1.946
O 0.000 0.000 3.892